A plane-wave DFT calculation with PBE was carried out for an optimized crystal structure of NdDy6Ho2Sc3.

abc: 6.048 6.048 11.477
angles: 95.03 95.03 119.97
Atoms (fractional coordinates):
Nd 0.000 0.000 0.000
Dy 0.913 0.579 0.740
Dy 0.753 0.753 0.260
Dy 0.087 0.421 0.260
Dy 0.579 0.913 0.740
Dy 0.247 0.247 0.740
Dy 0.421 0.087 0.260
Ho 0.333 0.667 0.000
Ho 0.667 0.333 0.000
Sc 0.167 0.833 0.500
Sc 0.833 0.167 0.500
Sc 0.500 0.500 0.500

Output
Space-group type: C2/m (12)
Mass density (g cm⁻³): 7.346
Formation enthalpy at 0 K (meV/atom): 44.4
D(E_F) (states/eV/f.u.): 17.28

A plane-wave DFT calculation with PBE was carried out for an optimized crystal structure of SmTmS.

abc: 3.784 3.784 6.376
angles: 90.00 90.00 120.00
Last column: magnetic moment on the atom in μB.
Atoms (fractional coordinates):
S 0.333 0.667 0.658  0.00
Tm 0.667 0.333 0.407  -0.15
Sm 0.000 0.000 0.935  0.11

Output
Space-group type: P3m1 (156)
Mass density (g cm⁻³): 7.379
Formation energy (no corrections) (kJ/mol of atoms): -120.9
D(E_F) (states/eV/f.u.): 1.63

A plane-wave DFT calculation with PBE was carried out for an optimized crystal structure of BaSrOs2.

abc: 3.563 3.563 9.395
angles: 90.00 90.00 90.00
Atoms (fractional coordinates):
Ba 0.500 0.500 0.826
Os 0.000 0.000 0.105
Os 0.500 0.500 0.152
Sr 0.000 0.000 0.417

Output
Space-group type: P4mm (99)
Mass density (g cm⁻³): 8.429
Formation enthalpy at 0 K (meV/atom): 617.5
Distance to the lowest polymorph of the same formula (meV per atom): 425
D(E_F) (states/eV/f.u.): 3.89

A plane-wave DFT calculation with PBE was carried out for an optimized crystal structure of SmHgS.

abc: 3.859 3.859 9.855
angles: 90.00 90.00 90.00
Atoms (fractional coordinates):
Hg 0.000 0.500 0.571
Hg 0.500 0.000 0.429
Sm 0.000 0.500 0.185
Sm 0.500 0.000 0.815
S 0.500 0.000 0.107
S 0.000 0.500 0.893

Output
Space-group type: P4/nmm (129)
Mass density (g cm⁻³): 8.668
Formation energy (no corrections) (kJ/mol of atoms): -116.3
D(E_F) (states/eV/f.u.): 1.90